(1)
Here is KNaAs after structural relaxation from the Alexandria database. Energies are from PBE-GGA.

Cell: 6.3396 6.3396 6.3396 Å, 143.16 143.16 53.08°
Atoms (fractional coordinates):
K 0.0000 0.0000 0.0000
Na 0.7250 0.7250 0.0000
As 0.3157 0.3157 0.0000

The value obtained for the energy relative to the elements is -205.5 meV per atom. The density of states at the Fermi level comes out at 0.57 states/eV/atom. As for the spin magnetization: 0.0 μB/f.u.

***

(2)
Here is SrMgB after structural relaxation from the Alexandria database. Energies are from PBE-GGA.

Cell: 4.0324 4.0324 11.5185 Å, 100.13 100.13 60.02°
Atoms (fractional coordinates):
Sr 0.0000 0.0000 0.0000
Sr 0.1530 0.1530 0.4560
Mg 0.4100 0.4100 0.2280
Mg 0.5783 0.5783 0.7272
B 0.7194 0.7194 0.1577
B 0.7666 0.7666 0.2971

The value obtained for the energy relative to the elements is 132.4 meV per atom. The density of states at the Fermi level comes out at 0.65 states/eV/atom. As for the spin magnetization: 0.0 μB/f.u.

***

(3)
Here is V3SiAg after structural relaxation from the Alexandria database. Energies are from PBE-GGA.

Cell: 4.4318 4.4318 4.4318 Å, 90.00 90.00 90.00°
Atoms (fractional coordinates):
V 0.0000 0.0000 0.5000
V 0.0000 0.5000 0.0000
V 0.5000 0.0000 0.0000
Si 0.0000 0.0000 0.0000
Ag 0.5000 0.5000 0.5000

The density of states at the Fermi level comes out at 1.22 states/eV/atom. As for the spin magnetization: 2.3 μB/f.u. For the formation energy (no corrections), the calculation gives 789 meV per atom.

***

(4)
Here is KCe2ErTe4 after structural relaxation from the Alexandria database. Energies are from PBE-GGA.

Cell: 7.8858 4.4777 7.9103 Å, 90.00 108.59 90.00°
Atoms (fractional coordinates):
K 0.0000 0.0000 0.0000
Ce 0.5000 0.0000 0.5000
Ce 0.5000 0.5000 0.0000
Er 0.0000 0.5000 0.5000
Te 0.2422 0.0000 0.7356
Te 0.2540 0.5000 0.2666
Te 0.7460 0.5000 0.7334
Te 0.7578 0.0000 0.2644

The density of states at the Fermi level comes out at 2.04 states/eV/atom. As for the spin magnetization: 2.6 μB/f.u. For the formation energy (no corrections), the calculation gives -1276 meV per atom.

***

(5)
Here is TiMoSe2Br after structural relaxation from the Alexandria database. Energies are from PBE-GGA.

Cell: 4.9079 4.9079 5.2293 Å, 90.00 90.00 90.00°
Atoms (fractional coordinates):
Ti 0.0000 0.0000 0.0000
Mo 0.5000 0.5000 0.5000
Se 0.0000 0.5000 0.5000
Se 0.5000 0.0000 0.5000
Br 0.5000 0.5000 0.0000

The density of states at the Fermi level comes out at 1.25 states/eV/atom. As for the spin magnetization: 3.0 μB/f.u. For the formation energy (no corrections), the calculation gives 365 meV per atom.

***

(6)
Here is Ag5Ru3 after structural relaxation from the Alexandria database. Energies are from PBE-GGA.

Cell: 8.0527 8.0527 7.5241 Å, 95.11 95.11 143.59°
Atoms (fractional coordinates):
Ag 0.0000 0.0000 0.0000
Ag 0.0052 0.6581 0.2792
Ag 0.2345 0.5401 0.4133
Ag 0.3981 0.6061 0.9398
Ag 0.5180 0.5180 0.2540
Ag 0.5401 0.2345 0.4133
Ag 0.6061 0.3981 0.9398
Ag 0.6581 0.0052 0.2792
Ag 0.8027 0.9857 0.6602
Ag 0.9857 0.8027 0.6602
Ru 0.0576 0.0576 0.3763
Ru 0.2572 0.8301 0.9791
Ru 0.4085 0.4085 0.6375
Ru 0.4585 0.9930 0.6891
Ru 0.8301 0.2572 0.9791
Ru 0.9930 0.4585 0.6891

The value obtained for the energy relative to the elements is 607.9 meV per atom. The density of states at the Fermi level comes out at 0.93 states/eV/atom. As for the spin magnetization: 0.0 μB/f.u.

***

(7)
Here is AcAg3As2 after structural relaxation from the Alexandria database. Energies are from PBE-GGA.

Cell: 8.5405 8.5405 8.2598 Å, 115.74 115.74 30.15°
Atoms (fractional coordinates):
Ac 0.1392 0.1392 0.0464
Ac 0.8608 0.8608 0.9536
Ag 0.0579 0.0579 0.4029
Ag 0.3108 0.3108 0.5664
Ag 0.4019 0.4019 0.3388
Ag 0.5981 0.5981 0.6612
Ag 0.6892 0.6892 0.4336
Ag 0.9421 0.9421 0.5971
As 0.2104 0.2104 0.7438
As 0.4857 0.4857 0.8149
As 0.5143 0.5143 0.1851
As 0.7896 0.7896 0.2562

The value obtained for the energy relative to the elements is -447.2 meV per atom. The density of states at the Fermi level comes out at 0.16 states/eV/atom. As for the spin magnetization: 0.0 μB/f.u.

***

(8)
Here is Pr4DyEr6 after structural relaxation from the Alexandria database. Energies are from PBE-GGA.

Cell: 8.5364 8.5364 8.5364 Å, 126.37 126.37 79.29°
Atoms (fractional coordinates):
Pr 0.2454 0.2454 0.6459
Pr 0.4005 0.7546 0.0000
Pr 0.5995 0.5995 0.3541
Pr 0.7546 0.4005 0.0000
Dy 0.0000 0.0000 0.0000
Er 0.0000 0.5000 0.5000
Er 0.0600 0.5773 0.0000
Er 0.4227 0.4227 0.4827
Er 0.5000 0.0000 0.5000
Er 0.5773 0.0600 0.0000
Er 0.9400 0.9400 0.5173

The value obtained for the energy relative to the elements is 465.3 meV per atom. The density of states at the Fermi level comes out at 1.23 states/eV/atom. As for the spin magnetization: 0.0 μB/f.u.

***

(9)
Here is Pm2CuRh2 after structural relaxation from the Alexandria database. Energies are from PBE-GGA.

Cell: 5.5226 5.5226 5.5226 Å, 135.02 115.60 81.98°
Atoms (fractional coordinates):
Pm 0.2031 0.2031 0.0000
Pm 0.7969 0.7969 0.0000
Cu 0.5000 0.0000 0.5000
Rh 0.2387 0.5000 0.7387
Rh 0.7613 0.5000 0.2613

The value obtained for the energy relative to the elements is -591.5 meV per atom. The density of states at the Fermi level comes out at 0.60 states/eV/atom. As for the spin magnetization: 0.0 μB/f.u.

***

(10)
Here is V2InN after structural relaxation from the Alexandria database. Energies are from PBE-GGA.

Cell: 6.9729 6.9729 6.9729 Å, 25.11 25.11 25.11°
Atoms (fractional coordinates):
V 0.2163 0.2163 0.2163
V 0.7837 0.7837 0.7837
In 0.0000 0.0000 0.0000
N 0.5000 0.5000 0.5000

The density of states at the Fermi level comes out at 0.95 states/eV/atom. As for the spin magnetization: 0.0 μB/f.u. For the formation energy (no corrections), the calculation gives -565 meV per atom.